1.
A relaxed HfSiP2S crystal, computed with PBE.

**E_form (uncorrected)**: 0.42 eV per atom
**Relative energy among the computed polymorphs**: 0.1796 eV/atom
**D(E_F)**: 0.84 states/eV per atom

Cell and atoms, written as CIF:
```
data_HfSiP2S
_cell_length_a 5.005
_cell_length_b 5.005
_cell_length_c 4.821
_cell_angle_alpha 90.00
_cell_angle_beta 90.00
_cell_angle_gamma 90.00
_symmetry_space_group_name_H-M 'P 4/m m m'
_symmetry_Int_Tables_number 123
_symmetry_space_group_name_Hall '-P 4 2'
loop_
_atom_site_label
_atom_site_type_symbol
_atom_site_fract_x
_atom_site_fract_y
_atom_site_fract_z
Hf1 Hf 0.000 0.000 0.000
Si1 Si 0.500 0.500 0.500
P1 P 0.000 0.500 0.000
S1 S 0.000 0.000 0.500
```



2.
A relaxed SmC2BrO6 crystal, computed with PBE.

**E_form (uncorrected)**: -1.72 eV per atom
**D(E_F)**: 0.00 states/eV per atom

Cell and atoms, written as CIF:
```
data_SmC2BrO6
_cell_length_a 9.420
_cell_length_b 9.306
_cell_length_c 7.679
_cell_angle_alpha 90.00
_cell_angle_beta 123.04
_cell_angle_gamma 90.00
_symmetry_space_group_name_H-M 'C 1 2/c 1'
_symmetry_Int_Tables_number 15
_symmetry_space_group_name_Hall '-C 2yc'
loop_
_atom_site_label
_atom_site_type_symbol
_atom_site_fract_x
_atom_site_fract_y
_atom_site_fract_z
Sm1 Sm 0.000 0.075 0.250
C1 C 0.242 0.357 0.217
Br1 Br 0.000 0.402 0.750
O1 O 0.124 0.091 0.617
O2 O 0.148 0.263 0.218
O3 O 0.222 0.417 0.047
```



3.
A relaxed Zr2Cr3Fe crystal, computed with PBE.

**Energy relative to the elements**: -0.49 eV per formula unit
**Relative energy among the computed polymorphs**: 0.0021 eV/atom
**D(E_F)**: 0.93 states/eV per atom

Cell and atoms, written as CIF:
```
data_Zr2Cr3Fe
_cell_length_a 8.096
_cell_length_b 5.076
_cell_length_c 8.687
_cell_angle_alpha 90.00
_cell_angle_beta 90.00
_cell_angle_gamma 90.00
_symmetry_space_group_name_H-M 'A m m 2'
_symmetry_Int_Tables_number 38
_symmetry_space_group_name_Hall 'A 2 -2'
loop_
_atom_site_label
_atom_site_type_symbol
_atom_site_fract_x
_atom_site_fract_y
_atom_site_fract_z
Zr1 Zr 0.186 0.000 0.000
Zr2 Zr 0.309 0.000 0.667
Cr1 Cr 0.000 0.000 0.505
Cr2 Cr 0.245 0.000 0.334
Cr3 Cr 0.500 0.000 0.167
Cr4 Cr 0.500 0.248 0.919
Fe1 Fe 0.000 0.248 0.749
```



4.
A relaxed Pu2GeTe crystal, computed with PBE.

**E_form (uncorrected)**: -0.65 eV per atom
**Relative energy among the computed polymorphs**: 0.0000 eV/atom
**D(E_F)**: 5.38 states/eV per atom

Cell and atoms, written as CIF:
```
data_Pu2GeTe
_cell_length_a 4.3134
_cell_length_b 4.3134
_cell_length_c 21.0164
_cell_angle_alpha 90.00
_cell_angle_beta 90.00
_cell_angle_gamma 120.00
_symmetry_space_group_name_H-M 'R -3 m'
_symmetry_Int_Tables_number 166
_symmetry_space_group_name_Hall '-R 3 2"'
loop_
_atom_site_label
_atom_site_type_symbol
_atom_site_fract_x
_atom_site_fract_y
_atom_site_fract_z
Pu1 Pu 0.0000 0.0000 0.2413
Ge1 Ge 0.0000 0.0000 0.5000
Te1 Te 0.0000 0.0000 0.0000
```



5.
A relaxed Ba4NaAgHg2 crystal, computed with PBE.

**Energy relative to the elements**: -2.45 eV per formula unit
**D(E_F)**: 1.05 states/eV per atom

Cell and atoms, written as CIF:
```
data_Ba4NaAgHg2
_cell_length_a 6.0234
_cell_length_b 6.0234
_cell_length_c 29.5367
_cell_angle_alpha 90.00
_cell_angle_beta 90.00
_cell_angle_gamma 120.00
_symmetry_space_group_name_H-M 'R -3 m'
_symmetry_Int_Tables_number 166
_symmetry_space_group_name_Hall '-R 3 2"'
loop_
_atom_site_label
_atom_site_type_symbol
_atom_site_fract_x
_atom_site_fract_y
_atom_site_fract_z
Ba1 Ba 0.0000 0.0000 0.1179
Ba2 Ba 0.0000 0.0000 0.3683
Na1 Na 0.0000 0.0000 0.5000
Ag1 Ag 0.0000 0.0000 0.0000
Hg1 Hg 0.0000 0.0000 0.2433
```



6.
A relaxed Rb2GaPt crystal, computed with PBE.

**Energy relative to the elements**: -0.83 eV per formula unit
**D(E_F)**: 0.55 states/eV per atom

Cell and atoms, written as CIF:
```
data_Rb2GaPt
_cell_length_a 12.812
_cell_length_b 12.812
_cell_length_c 4.775
_cell_angle_alpha 90.00
_cell_angle_beta 90.00
_cell_angle_gamma 90.00
_symmetry_space_group_name_H-M 'I -4 2 d'
_symmetry_Int_Tables_number 122
_symmetry_space_group_name_Hall 'I -4 2bw'
loop_
_atom_site_label
_atom_site_type_symbol
_atom_site_fract_x
_atom_site_fract_y
_atom_site_fract_z
Rb1 Rb 0.066 0.250 0.125
Ga1 Ga 0.000 0.000 0.500
Pt1 Pt 0.000 0.000 0.000
```



7.
A relaxed ZnCO3 crystal, computed with PBE.

**E_form (uncorrected)**: -1.35 eV per atom
**D(E_F)**: 0.00 states/eV per atom

Cell and atoms, written as CIF:
```
data_ZnCO3
_cell_length_a 5.987
_cell_length_b 7.641
_cell_length_c 4.425
_cell_angle_alpha 90.00
_cell_angle_beta 90.00
_cell_angle_gamma 90.00
_symmetry_space_group_name_H-M 'P n m a'
_symmetry_Int_Tables_number 62
_symmetry_space_group_name_Hall '-P 2ac 2n'
loop_
_atom_site_label
_atom_site_type_symbol
_atom_site_fract_x
_atom_site_fract_y
_atom_site_fract_z
Zn1 Zn 0.000 0.000 0.000
C1 C 0.134 0.250 0.498
O1 O 0.051 0.250 0.229
O2 O 0.181 0.102 0.630
```



8.
A relaxed HoCoSi2Ru crystal, computed with PBE.

**E_form (uncorrected)**: -0.87 eV per atom
**D(E_F)**: 0.41 states/eV per atom

Cell and atoms, written as CIF:
```
data_HoCoSi2Ru
_cell_length_a 4.014
_cell_length_b 4.014
_cell_length_c 9.713
_cell_angle_alpha 90.00
_cell_angle_beta 90.00
_cell_angle_gamma 90.00
_symmetry_space_group_name_H-M 'I -4 m 2'
_symmetry_Int_Tables_number 119
_symmetry_space_group_name_Hall 'I -4 -2'
loop_
_atom_site_label
_atom_site_type_symbol
_atom_site_fract_x
_atom_site_fract_y
_atom_site_fract_z
Ho1 Ho 0.000 0.000 0.000
Co1 Co 0.000 0.500 0.750
Si1 Si 0.000 0.000 0.372
Ru1 Ru 0.000 0.500 0.250
```



9.
A relaxed BaBiRu2O8 crystal, computed with PBE.

**E_form (uncorrected)**: -1.16 eV per atom
**D(E_F)**: 0.49 states/eV per atom

Cell and atoms, written as CIF:
```
data_BaBiRu2O8
_cell_length_a 5.4671
_cell_length_b 5.4671
_cell_length_c 23.0838
_cell_angle_alpha 90.00
_cell_angle_beta 90.00
_cell_angle_gamma 120.00
_symmetry_space_group_name_H-M 'R -3'
_symmetry_Int_Tables_number 148
_symmetry_space_group_name_Hall '-R 3'
loop_
_atom_site_label
_atom_site_type_symbol
_atom_site_fract_x
_atom_site_fract_y
_atom_site_fract_z
Ba1 Ba 0.0000 0.0000 0.0000
Bi1 Bi 0.0000 0.0000 0.5000
Ru1 Ru 0.0000 0.0000 0.2506
O1 O 0.0000 0.0000 0.3281
O2 O 0.0059 0.3546 0.4394
```



10.
A relaxed Sc6OsO12 crystal, computed with PBE.

**E_form (uncorrected)**: -2.98 eV per atom
**D(E_F)**: 0.33 states/eV per atom

Cell and atoms, written as CIF:
```
data_Sc6OsO12
_cell_length_a 9.3318
_cell_length_b 9.3318
_cell_length_c 8.7893
_cell_angle_alpha 90.00
_cell_angle_beta 90.00
_cell_angle_gamma 120.00
_symmetry_space_group_name_H-M 'R -3'
_symmetry_Int_Tables_number 148
_symmetry_space_group_name_Hall '-R 3'
loop_
_atom_site_label
_atom_site_type_symbol
_atom_site_fract_x
_atom_site_fract_y
_atom_site_fract_z
Sc1 Sc 0.0321 0.2481 0.1395
Os1 Os 0.0000 0.0000 0.5000
O1 O 0.0218 0.1852 0.3804
O2 O 0.0240 0.2166 0.8945
```



11.
A relaxed BeAgPbF2 crystal, computed with PBE.

**E_form (uncorrected)**: -0.51 eV per atom
**D(E_F)**: 0.46 states/eV per atom

Cell and atoms, written as CIF:
```
data_BeAgPbF2
_cell_length_a 4.619
_cell_length_b 4.619
_cell_length_c 4.958
_cell_angle_alpha 90.00
_cell_angle_beta 90.00
_cell_angle_gamma 90.00
_symmetry_space_group_name_H-M 'P 4/m m m'
_symmetry_Int_Tables_number 123
_symmetry_space_group_name_Hall '-P 4 2'
loop_
_atom_site_label
_atom_site_type_symbol
_atom_site_fract_x
_atom_site_fract_y
_atom_site_fract_z
Be1 Be 0.000 0.000 0.000
Ag1 Ag 0.500 0.500 0.000
Pb1 Pb 0.000 0.000 0.500
F1 F 0.000 0.500 0.500
```



12.
A relaxed Li4YAg crystal, computed with PBE.

**Energy relative to the elements**: 0.04 eV per formula unit
**D(E_F)**: 1.01 states/eV per atom

Cell and atoms, written as CIF:
```
data_Li4YAg
_cell_length_a 7.665
_cell_length_b 7.665
_cell_length_c 7.665
_cell_angle_alpha 90.00
_cell_angle_beta 90.00
_cell_angle_gamma 90.00
_symmetry_space_group_name_H-M 'F -4 3 m'
_symmetry_Int_Tables_number 216
_symmetry_space_group_name_Hall 'F -4 2 3'
loop_
_atom_site_label
_atom_site_type_symbol
_atom_site_fract_x
_atom_site_fract_y
_atom_site_fract_z
Li1 Li 0.123 0.123 0.377
Y1 Y 0.000 0.000 0.000
Ag1 Ag 0.250 0.250 0.750
```



13.
A relaxed RbScMnB2 crystal, computed with PBE.

**Energy relative to the elements**: 4.25 eV per formula unit
**D(E_F)**: 0.69 states/eV per atom

Cell and atoms, written as CIF:
```
data_RbScMnB2
_cell_length_a 4.233
_cell_length_b 4.233
_cell_length_c 4.531
_cell_angle_alpha 90.00
_cell_angle_beta 90.00
_cell_angle_gamma 90.00
_symmetry_space_group_name_H-M 'P 4/m m m'
_symmetry_Int_Tables_number 123
_symmetry_space_group_name_Hall '-P 4 2'
loop_
_atom_site_label
_atom_site_type_symbol
_atom_site_fract_x
_atom_site_fract_y
_atom_site_fract_z
Rb1 Rb 0.000 0.000 0.000
Sc1 Sc 0.500 0.500 0.000
Mn1 Mn 0.500 0.500 0.500
B1 B 0.000 0.500 0.500
```



14.
A relaxed NaMnIBr2 crystal, computed with PBE.

**E_form (uncorrected)**: -0.82 eV per atom
**Relative energy among the computed polymorphs**: 0.1180 eV/atom

Cell and atoms, written as CIF:
```
data_NaMnIBr2
_cell_length_a 5.252
_cell_length_b 5.252
_cell_length_c 5.927
_cell_angle_alpha 90.00
_cell_angle_beta 90.00
_cell_angle_gamma 90.00
_symmetry_space_group_name_H-M 'P 4/m m m'
_symmetry_Int_Tables_number 123
_symmetry_space_group_name_Hall '-P 4 2'
loop_
_atom_site_label
_atom_site_type_symbol
_atom_site_fract_x
_atom_site_fract_y
_atom_site_fract_z
Na1 Na 0.000 0.000 0.000
Mn1 Mn 0.500 0.500 0.500
I1 I 0.500 0.500 0.000
Br1 Br 0.000 0.500 0.500
```



15.
A relaxed TlWI2N crystal, computed with PBE.

**E_form (uncorrected)**: 1.96 eV per atom
**Relative energy among the computed polymorphs**: 1.8001 eV/atom
**D(E_F)**: 1.10 states/eV per atom

Cell and atoms, written as CIF:
```
data_TlWI2N
_cell_length_a 6.163
_cell_length_b 6.163
_cell_length_c 4.065
_cell_angle_alpha 90.00
_cell_angle_beta 90.00
_cell_angle_gamma 90.00
_symmetry_space_group_name_H-M 'P 4/m m m'
_symmetry_Int_Tables_number 123
_symmetry_space_group_name_Hall '-P 4 2'
loop_
_atom_site_label
_atom_site_type_symbol
_atom_site_fract_x
_atom_site_fract_y
_atom_site_fract_z
Tl1 Tl 0.000 0.000 0.000
W1 W 0.500 0.500 0.500
I1 I 0.000 0.500 0.000
N1 N 0.000 0.000 0.500
```



16.
A relaxed BaCd2Pd2 crystal, computed with PBE.

**Energy relative to the elements**: -2.35 eV per formula unit
**Relative energy among the computed polymorphs**: 0.0000 eV/atom
**D(E_F)**: 0.45 states/eV per atom

Cell and atoms, written as CIF:
```
data_BaCd2Pd2
_cell_length_a 5.994
_cell_length_b 6.984
_cell_length_c 7.614
_cell_angle_alpha 70.68
_cell_angle_beta 66.85
_cell_angle_gamma 64.75
_symmetry_space_group_name_H-M 'P -1'
_symmetry_Int_Tables_number 2
_symmetry_space_group_name_Hall '-P 1'
loop_
_atom_site_label
_atom_site_type_symbol
_atom_site_fract_x
_atom_site_fract_y
_atom_site_fract_z
Ba1 Ba 0.135 0.250 0.250
Cd1 Cd 0.150 0.125 0.783
Cd2 Cd 0.441 0.625 0.283
Pd1 Pd 0.300 0.688 0.955
Pd2 Pd 0.443 0.813 0.545
```



17.
A relaxed Li2CoNi crystal, computed with PBE.

**Energy relative to the elements**: 1.40 eV per formula unit
**Relative energy among the computed polymorphs**: 0.3227 eV/atom
**D(E_F)**: 1.99 states/eV per atom

Cell and atoms, written as CIF:
```
data_Li2CoNi
_cell_length_a 5.668
_cell_length_b 5.668
_cell_length_c 5.668
_cell_angle_alpha 90.00
_cell_angle_beta 90.00
_cell_angle_gamma 90.00
_symmetry_space_group_name_H-M 'F m -3 m'
_symmetry_Int_Tables_number 225
_symmetry_space_group_name_Hall '-F 4 2 3'
loop_
_atom_site_label
_atom_site_type_symbol
_atom_site_fract_x
_atom_site_fract_y
_atom_site_fract_z
Li1 Li 0.250 0.250 0.250
Co1 Co 0.000 0.000 0.000
Ni1 Ni 0.000 0.000 0.500
```



18.
A relaxed Rb2Ce2CdS6 crystal, computed with PBE.

**E_form (uncorrected)**: -1.44 eV per atom

Cell and atoms, written as CIF:
```
data_Rb2Ce2CdS6
_cell_length_a 6.937
_cell_length_b 12.373
_cell_length_c 8.146
_cell_angle_alpha 90.00
_cell_angle_beta 105.48
_cell_angle_gamma 90.00
_symmetry_space_group_name_H-M 'C 1 2/m 1'
_symmetry_Int_Tables_number 12
_symmetry_space_group_name_Hall '-C 2y'
loop_
_atom_site_label
_atom_site_type_symbol
_atom_site_fract_x
_atom_site_fract_y
_atom_site_fract_z
Rb1 Rb 0.000 0.160 0.000
Ce1 Ce 0.000 0.335 0.500
Cd1 Cd 0.000 0.000 0.500
S1 S 0.231 0.500 0.682
S2 S 0.232 0.176 0.689
```



19.
A relaxed CsSbTe2Se crystal, computed with PBE.

**E_form (uncorrected)**: 1.41 eV per atom
**Relative energy among the computed polymorphs**: 1.4186 eV/atom
**D(E_F)**: 1.97 states/eV per atom

Cell and atoms, written as CIF:
```
data_CsSbTe2Se
_cell_length_a 6.755
_cell_length_b 6.755
_cell_length_c 6.511
_cell_angle_alpha 90.00
_cell_angle_beta 90.00
_cell_angle_gamma 90.00
_symmetry_space_group_name_H-M 'P 4/m m m'
_symmetry_Int_Tables_number 123
_symmetry_space_group_name_Hall '-P 4 2'
loop_
_atom_site_label
_atom_site_type_symbol
_atom_site_fract_x
_atom_site_fract_y
_atom_site_fract_z
Cs1 Cs 0.000 0.000 0.000
Sb1 Sb 0.000 0.000 0.500
Te1 Te 0.000 0.500 0.000
Se1 Se 0.500 0.500 0.500
```



20.
A relaxed NdYZnGe crystal, computed with PBE.

**Energy relative to the elements**: -2.45 eV per formula unit
**Relative energy among the computed polymorphs**: 0.0000 eV/atom
**D(E_F)**: 1.04 states/eV per atom

Cell and atoms, written as CIF:
```
data_NdYZnGe
_cell_length_a 4.141
_cell_length_b 4.259
_cell_length_c 11.206
_cell_angle_alpha 90.00
_cell_angle_beta 90.00
_cell_angle_gamma 90.00
_symmetry_space_group_name_H-M 'A m m 2'
_symmetry_Int_Tables_number 38
_symmetry_space_group_name_Hall 'A 2 -2'
loop_
_atom_site_label
_atom_site_type_symbol
_atom_site_fract_x
_atom_site_fract_y
_atom_site_fract_z
Nd1 Nd 0.000 0.000 0.000
Y1 Y 0.500 0.000 0.283
Zn1 Zn 0.500 0.000 0.575
Ge1 Ge 0.000 0.000 0.721
```



Magnetization for the records above, in order: 0.00, 0.00, 0.14, 2.50, 0.00, 0.00, 0.00, 0.00, 0.25, 0.11, 0.00, 0.00, 0.00, 1.00, 0.75, 0.00, 0.41, 0.00, 0.92, 0.04 μB per atom